# 1
H2RuS: optimized geometry, GGA-PBE.

Energy above the most stable polymorph in this dataset = 0.81 eV per formula unit

Structure (POSCAR):
```
H2RuS
1.0
4.372 0.000 0.000
0.000 5.294 0.000
0.000 0.000 3.990
H Ru S
4 2 2
Direct
0.000 0.165 0.000 H
0.000 0.335 0.500 H
0.000 0.665 0.500 H
0.000 0.835 0.000 H
0.000 0.000 0.365 Ru
0.000 0.500 0.865 Ru
0.500 0.000 0.403 S
0.500 0.500 0.903 S
```



# 2
H2RuS: optimized geometry, GGA-PBE.

Energy above the most stable polymorph in this dataset = 0.27 eV per formula unit

Structure (POSCAR):
```
H2RuS
1.0
7.862 0.000 0.000
0.000 2.918 0.000
-0.403 0.000 4.235
H Ru S
4 2 2
Direct
0.000 0.000 0.000 H
0.113 0.500 0.850 H
0.500 0.500 0.000 H
0.613 0.000 0.850 H
0.034 0.000 0.640 Ru
0.534 0.500 0.640 Ru
0.314 0.000 0.518 S
0.814 0.500 0.518 S
```



# 3
H2RuS: optimized geometry, GGA-PBE.

Energy above the most stable polymorph in this dataset = 0.00 eV per formula unit

Structure (POSCAR):
```
H2RuS
1.0
2.953 0.000 0.000
1.474 2.996 0.000
1.007 0.021 5.561
H Ru S
2 1 1
Direct
0.000 0.000 0.000 H
0.482 0.090 0.917 H
0.509 0.857 0.183 Ru
0.121 0.469 0.422 S
```



# 4
H2RuS: optimized geometry, GGA-PBE.

Energy above the most stable polymorph in this dataset = 0.48 eV per formula unit

Structure (POSCAR):
```
H2RuS
1.0
3.307 0.000 0.000
0.000 3.307 0.000
0.000 0.000 7.159
H Ru S
4 2 2
Direct
0.000 0.000 0.167 H
0.000 0.000 0.833 H
0.500 0.500 0.333 H
0.500 0.500 0.667 H
0.000 0.500 0.250 Ru
0.500 0.000 0.750 Ru
0.000 0.000 0.500 S
0.500 0.500 0.000 S
```



# 5
Sc2HRuS: optimized geometry, GGA-PBE.

Total DFT energy (no corrections) = -5.78 eV/atom

Structure (POSCAR):
```
Sc2HRuS
1.0
4.851 0.000 0.000
0.000 4.851 0.000
0.000 0.000 4.232
Sc H Ru S
2 1 1 1
Direct
0.000 0.500 0.000 Sc
0.500 0.000 0.000 Sc
0.000 0.000 0.500 H
0.500 0.500 0.500 Ru
0.500 0.500 0.000 S
```



# 6
HRu2SeS: optimized geometry, GGA-PBE.

Total DFT energy (no corrections) = -4.22 eV/atom

Structure (POSCAR):
```
HRu2SeS
1.0
4.625 0.000 0.000
0.000 4.625 0.000
0.000 0.000 4.931
H Ru Se S
1 2 1 1
Direct
0.000 0.000 0.000 H
0.000 0.500 0.500 Ru
0.500 0.000 0.500 Ru
0.500 0.500 0.500 Se
0.500 0.500 0.000 S
```